Computed, not measured: crystalline TbMn2SnO6 at its relaxed geometry at the GGA+U level of DFT.

abc: 5.3626 5.4389 5.8058
angles: 62.28 64.18 61.66
Space group P1 (No. 1)
Unique sites:
1 Tb 0.0000 0.0000 0.0000
2 Mn 0.2126 0.2016 0.3719
3 Mn 0.7241 0.7226 0.8253
4 Sn 0.5156 0.5140 0.4552
5 O 0.1308 0.8173 0.6311
6 O 0.3192 0.5604 0.1797
7 O 0.4102 0.1260 0.6397
8 O 0.5871 0.9032 0.1587
9 O 0.7889 0.4108 0.6698
10 O 0.9235 0.3220 0.1804

Summary:
**Total DFT energy (no corrections)**: -74.286 eV per cell
**Total magnetic moment**: 9.0 Bohr magnetons per cell